# 1
DFT (GGA-PBE) results for a relaxed Nd3BiRu crystal.

```
data_Nd3BiRu
_chemical_formula_sum 'Nd3 Bi1 Ru1'
_cell_length_a 5.4517
_cell_length_b 5.4517
_cell_length_c 5.4517
_cell_angle_alpha 90.00
_cell_angle_beta 90.00
_cell_angle_gamma 90.00
_symmetry_space_group_name_H-M 'P m -3 m'
_symmetry_Int_Tables_number 221
_symmetry_space_group_name_Hall '-P 4 2 3'
loop_
_atom_site_label
_atom_site_type_symbol
_atom_site_fract_x
_atom_site_fract_y
_atom_site_fract_z
_atom_site_occupancy
Nd1 Nd 0.0000 0.0000 0.5000 1
Bi1 Bi 0.5000 0.5000 0.5000 1
Ru1 Ru 0.0000 0.0000 0.0000 1
```

Results
Distance to the lowest polymorph of the same formula (eV/atom): 0.1356
E_form (eV per atom): -0.310
Fermi-level density of states (states/eV per cell): 4.7
Crystal system: cubic
Volume (Å³ per cell): 162
DFT total energy (eV/atom): -5.80

***

# 2
DFT (GGA-PBE) results for a relaxed Nd5Bi2Ru crystal.

```
data_Nd5Bi2Ru
_chemical_formula_sum 'Nd10 Bi4 Ru2'
_cell_length_a 7.6731
_cell_length_b 7.6731
_cell_length_c 8.5510
_cell_angle_alpha 90.00
_cell_angle_beta 90.00
_cell_angle_gamma 90.00
_symmetry_space_group_name_H-M 'I 4 m m'
_symmetry_Int_Tables_number 107
_symmetry_space_group_name_Hall 'I 4 -2'
loop_
_atom_site_label
_atom_site_type_symbol
_atom_site_fract_x
_atom_site_fract_y
_atom_site_fract_z
_atom_site_occupancy
Nd1 Nd 0.0000 0.0000 0.0000 1
Nd2 Nd 0.2490 0.2490 0.2542 1
Bi1 Bi 0.0000 0.5000 0.0066 1
Ru1 Ru 0.0000 0.0000 0.6775 1
```

Results
E_form (eV per atom): -0.321
Fermi-level density of states (states/eV per cell): 18.9
Crystal system: tetragonal
Volume (Å³ per cell): 503
DFT total energy (eV/atom): -5.43

***

# 3
DFT (GGA-PBE) results for a relaxed Nd5Bi4S crystal.

```
data_Nd5Bi4S
_chemical_formula_sum 'Nd10 Bi8 S2'
_cell_length_a 4.5298
_cell_length_b 4.5298
_cell_length_c 31.8256
_cell_angle_alpha 90.00
_cell_angle_beta 90.00
_cell_angle_gamma 90.00
_symmetry_space_group_name_H-M 'I 4/m m m'
_symmetry_Int_Tables_number 139
_symmetry_space_group_name_Hall '-I 4 2'
loop_
_atom_site_label
_atom_site_type_symbol
_atom_site_fract_x
_atom_site_fract_y
_atom_site_fract_z
_atom_site_occupancy
Nd1 Nd 0.0000 0.0000 0.0000 1
Nd2 Nd 0.0000 0.0000 0.2010 1
Nd3 Nd 0.0000 0.0000 0.4087 1
Bi1 Bi 0.0000 0.0000 0.0992 1
Bi2 Bi 0.0000 0.0000 0.3035 1
S1 S 0.0000 0.0000 0.5000 1
```

Results
Formation energy without anion corrections (eV/atom): -1.102
Fermi-level density of states (states/eV per cell): 5.0
Crystal system: tetragonal
Volume (Å³ per cell): 653
DFT total energy (eV/atom): -5.45

***

# 4
DFT (GGA-PBE) results for a relaxed NdBi3S6 crystal.

```
data_NdBi3S6
_chemical_formula_sum 'Nd2 Bi6 S12'
_cell_length_a 11.7091
_cell_length_b 4.0343
_cell_length_c 11.7102
_cell_angle_alpha 90.00
_cell_angle_beta 106.53
_cell_angle_gamma 90.00
_symmetry_space_group_name_H-M 'P 1 21/m 1'
_symmetry_Int_Tables_number 11
loop_
_symmetry_equiv_pos_as_xyz
'x,y,z'
'-x,-y,-z'
'-x,y+1/2,-z'
'x,-y+1/2,z'
loop_
_atom_site_label
_atom_site_type_symbol
_atom_site_fract_x
_atom_site_fract_y
_atom_site_fract_z
_atom_site_occupancy
Nd1 Nd 0.1890 0.2500 0.0401 1
Bi1 Bi 0.0200 0.7500 0.3032 1
Bi2 Bi 0.3347 0.2500 0.4323 1
Bi3 Bi 0.4064 0.7500 0.8460 1
S1 S 0.0370 0.7500 0.8934 1
S2 S 0.1149 0.2500 0.4639 1
S3 S 0.2206 0.7500 0.2373 1
S4 S 0.2500 0.2500 0.8079 1
S5 S 0.3878 0.7500 0.0685 1
S6 S 0.4127 0.7500 0.5892 1
```

Results
Formation energy without anion corrections (eV/atom): -0.789
Crystal system: monoclinic
Volume (Å³ per cell): 530
DFT total energy (eV/atom): -4.91

***

# 5
DFT (GGA-PBE) results for a relaxed Nd2Bi2S7 crystal.

```
data_Nd2Bi2S7
_chemical_formula_sum 'Nd4 Bi4 S14'
_cell_length_a 3.9672
_cell_length_b 14.6021
_cell_length_c 8.9980
_cell_angle_alpha 90.00
_cell_angle_beta 90.00
_cell_angle_gamma 90.00
_symmetry_space_group_name_H-M 'I m m 2'
_symmetry_Int_Tables_number 44
loop_
_symmetry_equiv_pos_as_xyz
'x,y,z'
'-x,-y,z'
'-x,y,z'
'x,-y,z'
'x+1/2,y+1/2,z+1/2'
'-x+1/2,-y+1/2,z+1/2'
'-x+1/2,y+1/2,z+1/2'
'x+1/2,-y+1/2,z+1/2'
loop_
_atom_site_label
_atom_site_type_symbol
_atom_site_fract_x
_atom_site_fract_y
_atom_site_fract_z
_atom_site_occupancy
Nd1 Nd 0.0000 0.0000 0.0000 1
Nd2 Nd 0.0000 0.5000 0.0445 1
Bi1 Bi 0.0000 0.2468 0.2075 1
S1 S 0.0000 0.0000 0.3242 1
S2 S 0.0000 0.1077 0.7219 1
S3 S 0.0000 0.3219 0.9191 1
S4 S 0.0000 0.3623 0.5468 1
```

Results
Formation energy without anion corrections (eV/atom): -0.874
Fermi-level density of states (states/eV per cell): 11.8
Crystal system: orthorhombic
Volume (Å³ per cell): 521
DFT total energy (eV/atom): -5.07

***

# 6
DFT (GGA-PBE) results for a relaxed Nd7BiS5 crystal.

```
data_Nd7BiS5
_chemical_formula_sum 'Nd28 Bi4 S20'
_cell_length_a 4.1625
_cell_length_b 13.3521
_cell_length_c 24.5378
_cell_angle_alpha 90.00
_cell_angle_beta 90.00
_cell_angle_gamma 90.00
_symmetry_space_group_name_H-M 'C m c m'
_symmetry_Int_Tables_number 63
_symmetry_space_group_name_Hall '-C 2c 2'
loop_
_atom_site_label
_atom_site_type_symbol
_atom_site_fract_x
_atom_site_fract_y
_atom_site_fract_z
_atom_site_occupancy
Nd1 Nd 0.0000 0.0182 0.2500 1
Nd2 Nd 0.0000 0.1361 0.5371 1
Nd3 Nd 0.0000 0.3237 0.1708 1
Nd4 Nd 0.0000 0.4086 0.6096 1
Bi1 Bi 0.0000 0.2994 0.7500 1
S1 S 0.0000 0.0436 0.6404 1
S2 S 0.0000 0.2257 0.0690 1
S3 S 0.0000 0.5000 0.0000 1
```

Results
Formation energy without anion corrections (eV/atom): -1.704
Fermi-level density of states (states/eV per cell): 29.5
Crystal system: orthorhombic
Volume (Å³ per cell): 1364
DFT total energy (eV/atom): -6.16

***

# 7
DFT (GGA-PBE) results for a relaxed NdBi2S4 crystal.

```
data_NdBi2S4
_chemical_formula_sum 'Nd4 Bi8 S16'
_cell_length_a 4.2555
_cell_length_b 13.0223
_cell_length_c 13.1952
_cell_angle_alpha 90.00
_cell_angle_beta 90.00
_cell_angle_gamma 90.00
_symmetry_space_group_name_H-M 'C m c m'
_symmetry_Int_Tables_number 63
_symmetry_space_group_name_Hall '-C 2c 2'
loop_
_atom_site_label
_atom_site_type_symbol
_atom_site_fract_x
_atom_site_fract_y
_atom_site_fract_z
_atom_site_occupancy
Nd1 Nd 0.0000 0.1256 0.2500 1
Bi1 Bi 0.0000 0.3745 0.0637 1
S1 S 0.0000 0.0000 0.0000 1
S2 S 0.0000 0.2742 0.6227 1
S3 S 0.0000 0.4813 0.2500 1
```

Results
Formation energy without anion corrections (eV/atom): -0.825
Fermi-level density of states (states/eV per cell): 3.5
Crystal system: orthorhombic
Volume (Å³ per cell): 731
DFT total energy (eV/atom): -4.97

***

# 8
DFT (GGA-PBE) results for a relaxed Nd2BiS4 crystal.

```
data_Nd2BiS4
_chemical_formula_sum 'Nd4 Bi2 S8'
_cell_length_a 15.5542
_cell_length_b 4.0032
_cell_length_c 7.2623
_cell_angle_alpha 90.00
_cell_angle_beta 115.90
_cell_angle_gamma 90.00
_symmetry_space_group_name_H-M 'C 1 2/m 1'
_symmetry_Int_Tables_number 12
loop_
_symmetry_equiv_pos_as_xyz
'x,y,z'
'-x,-y,-z'
'-x,y,-z'
'x,-y,z'
'x+1/2,y+1/2,z'
'-x+1/2,-y+1/2,-z'
'-x+1/2,y+1/2,-z'
'x+1/2,-y+1/2,z'
loop_
_atom_site_label
_atom_site_type_symbol
_atom_site_fract_x
_atom_site_fract_y
_atom_site_fract_z
_atom_site_occupancy
Nd1 Nd 0.2292 0.0000 0.2345 1
Bi1 Bi 0.0000 0.5000 0.5000 1
S1 S 0.1329 0.5000 0.3375 1
S2 S 0.1445 0.0000 0.8005 1
```

Results
Formation energy without anion corrections (eV/atom): -1.381
Fermi-level density of states (states/eV per cell): 4.7
Crystal system: monoclinic
Volume (Å³ per cell): 407
DFT total energy (eV/atom): -5.66

***

Question: Number 3 is which compound?
Answer: Nd5Bi4S